RbSc2FeMo PBE-GGA optimized geometry; spin magnetization = 1.9 μB per formula unit; formation enthalpy at 0 K = 842.8 meV/atom; mass density = 4.17 g cm⁻³; DOS at the Fermi energy = 1.04 states/eV/atom
1.0
5.2967 0.0000 0.0000
0.0000 5.2967 0.0000
0.0000 0.0000 4.6490
Rb Sc Fe Mo
1 2 1 1
Cartesian
0.0000 0.0000 0.0000
0.0000 2.6484 2.3245
2.6484 0.0000 2.3245
2.6484 2.6484 0.0000
2.6484 2.6484 2.3245